Record 1
First-principles (meta-GGA SCAN) data for a crystal of TlSeBr relaxed with PBEsol, as listed in Alexandria via LeMat-Bulk.

For the magnetic moment, the calculation gives 8.00 μB/cell. The density of states at the Fermi level comes out at 9.5 states/eV per cell. The value obtained for the energy relative to the elements, uncorrected is 0.21 eV per atom. Its electronic total energy is -37.08 eV/atom.

The space group is F-43m (No. 216) and the conventional cell measures 7.390, 7.390 and 7.390 Å, with angles of 90.00, 90.00 and 90.00 degrees. The asymmetric unit holds Tl at (0.000, 0.000, 0.000), Se at (0.000, 0.000, 0.500) and Br at (0.250, 0.250, 0.250).

***

Record 2
First-principles (meta-GGA SCAN) data for a crystal of Ca2InP relaxed with PBEsol, as listed in Alexandria via LeMat-Bulk.

For the magnetic moment, the calculation gives 0.00 μB/cell. The density of states at the Fermi level comes out at 8.4 states/eV per cell. Its electronic total energy is -16.36 eV/atom.

The space group is Fm-3m (No. 225) and the conventional cell measures 7.285, 7.285 and 7.285 Å, with angles of 90.00, 90.00 and 90.00 degrees. The asymmetric unit holds Ca at (0.250, 0.250, 0.250), In at (0.000, 0.000, 0.000) and P at (0.000, 0.000, 0.500).

***

Record 3
First-principles (meta-GGA SCAN) data for a crystal of La2InAs relaxed with PBEsol, as listed in Alexandria via LeMat-Bulk.

For the magnetic moment, the calculation gives 0.00 μB/cell. The density of states at the Fermi level comes out at 4.2 states/eV per cell. The calculation puts the energy above the lowest structure with this stoichiometry at 0.0 meV per atom. Its electronic total energy is -35.90 eV/atom.

The space group is P4/mmm (No. 123) and the conventional cell measures 4.451, 4.451 and 6.258 Å, with angles of 90.00, 90.00 and 90.00 degrees. The asymmetric unit holds La at (0.000, 0.000, 0.000), La at (0.500, 0.500, 0.500), In at (0.000, 0.000, 0.500) and As at (0.500, 0.500, 0.000).

***

Record 4
First-principles (meta-GGA SCAN) data for a crystal of Zr4Cd5 relaxed with PBEsol, as listed in Alexandria via LeMat-Bulk.

For the magnetic moment, the calculation gives 0.00 μB/cell. The density of states at the Fermi level comes out at 10.9 states/eV per cell. The calculation puts the energy above the lowest structure with this stoichiometry at 0.0 meV per atom. Its electronic total energy is -30.70 eV/atom.

The space group is I4/mmm (No. 139) and the conventional cell measures 9.557, 9.557 and 4.130 Å, with angles of 90.00, 90.00 and 90.00 degrees. The asymmetric unit holds Zr at (0.000, 0.333, 0.000), Cd at (0.000, 0.000, 0.000) and Cd at (0.168, 0.168, 0.500).

***

Record 5
First-principles (meta-GGA SCAN) data for a crystal of AlSnSbTe2 relaxed with PBEsol, as listed in Alexandria via LeMat-Bulk.

For the magnetic moment, the calculation gives 0.00 μB/cell. The density of states at the Fermi level comes out at 4.7 states/eV per cell. The value obtained for the energy relative to the elements, uncorrected is 0.73 eV per atom. Its electronic total energy is -30.36 eV/atom.

The space group is P4/mmm (No. 123) and the conventional cell measures 5.638, 5.638 and 5.531 Å, with angles of 90.00, 90.00 and 90.00 degrees. The asymmetric unit holds Al at (0.000, 0.000, 0.000), Sn at (0.500, 0.500, 0.500), Sb at (0.500, 0.500, 0.000) and Te at (0.000, 0.500, 0.500).

***

Record 6
First-principles (meta-GGA SCAN) data for a crystal of NbNiGe relaxed with PBEsol, as listed in Alexandria via LeMat-Bulk.

For the magnetic moment, the calculation gives 1.56 μB/cell. The density of states at the Fermi level comes out at 5.0 states/eV per cell. Its electronic total energy is -23.34 eV/atom.

The space group is I4/mmm (No. 139) and the conventional cell measures 3.618, 3.618 and 12.910 Å, with angles of 90.00, 90.00 and 90.00 degrees. The asymmetric unit holds Nb at (0.000, 0.000, 0.173), Ni at (0.000, 0.500, 0.000) and Ge at (0.000, 0.000, 0.378).

***

Record 7
First-principles (meta-GGA SCAN) data for a crystal of Pr5B2C5 relaxed with PBEsol, as listed in Alexandria via LeMat-Bulk.

For the magnetic moment, the calculation gives 0.00 μB/cell. The density of states at the Fermi level comes out at 14.4 states/eV per cell. Its electronic total energy is -23.87 eV/atom.

The space group is P4/ncc (No. 130, origin choice 2) and the conventional cell measures 8.562, 8.562 and 10.982 Å, with angles of 90.00, 90.00 and 90.00 degrees. The asymmetric unit holds Pr at (0.038, 0.656, 0.103), Pr at (0.250, 0.250, 0.144), B at (0.094, 0.594, 0.750), C at (0.051, 0.647, 0.872) and C at (0.250, 0.250, 0.404).

***

Record 8
First-principles (meta-GGA SCAN) data for a crystal of Re2TcAs relaxed with PBEsol, as listed in Alexandria via LeMat-Bulk.

For the magnetic moment, the calculation gives 0.00 μB/cell. The density of states at the Fermi level comes out at 7.4 states/eV per cell. Its electronic total energy is -49.20 eV/atom.

The space group is Amm2 (No. 38) and the conventional cell measures 3.935, 2.818 and 10.480 Å, with angles of 90.00, 90.00 and 90.00 degrees. The asymmetric unit holds Re at (0.000, 0.000, 0.000), Re at (0.500, 0.000, 0.383), Tc at (0.500, 0.000, 0.641) and As at (0.000, 0.000, 0.234).

***

Record 9
First-principles (meta-GGA SCAN) data for a crystal of AsIrC3 relaxed with PBEsol, as listed in Alexandria via LeMat-Bulk.

For the magnetic moment, the calculation gives 0.00 μB/cell. The density of states at the Fermi level comes out at 3.1 states/eV per cell. Its electronic total energy is -21.34 eV/atom.

The space group is Pm-3m (No. 221) and the conventional cell measures 3.814, 3.814 and 3.814 Å, with angles of 90.00, 90.00 and 90.00 degrees. The asymmetric unit holds As at (0.000, 0.000, 0.000), Ir at (0.500, 0.500, 0.500) and C at (0.000, 0.000, 0.500).

***

Record 10
First-principles (meta-GGA SCAN) data for a crystal of CdAs2O6 relaxed with PBEsol, as listed in Alexandria via LeMat-Bulk.

For the magnetic moment, the calculation gives 0.00 μB/cell. The density of states at the Fermi level comes out at 0.0 states/eV per cell. The value obtained for the energy relative to the elements, uncorrected is -1.41 eV per atom. Its electronic total energy is -13.43 eV/atom.

The space group is P-31m (No. 162) and the conventional cell measures 4.8784, 4.8784 and 4.8878 Å, with angles of 90.00, 90.00 and 120.00 degrees. The asymmetric unit holds Cd at (0.0000, 0.0000, 0.0000), As at (0.3333, 0.6667, 0.5000) and O at (0.0000, 0.3755, 0.2881).

***

Record 11
First-principles (meta-GGA SCAN) data for a crystal of CsIn3H relaxed with PBEsol, as listed in Alexandria via LeMat-Bulk.

For the magnetic moment, the calculation gives 0.00 μB/cell. The density of states at the Fermi level comes out at 5.3 states/eV per cell. Its electronic total energy is -27.88 eV/atom.

The space group is Pm-3m (No. 221) and the conventional cell measures 5.132, 5.132 and 5.132 Å, with angles of 90.00, 90.00 and 90.00 degrees. The asymmetric unit holds Cs at (0.000, 0.000, 0.000), In at (0.000, 0.500, 0.500) and H at (0.500, 0.500, 0.500).

***

Record 12
First-principles (meta-GGA SCAN) data for a crystal of CrHg2Os relaxed with PBEsol, as listed in Alexandria via LeMat-Bulk.

For the magnetic moment, the calculation gives 3.40 μB/cell. The density of states at the Fermi level comes out at 2.6 states/eV per cell. The calculation puts the energy above the lowest structure with this stoichiometry at 48.3 meV per atom. Its electronic total energy is -55.94 eV/atom.

The space group is P2/m (No. 10) and the conventional cell measures 2.830, 4.788 and 5.030 Å, with angles of 90.00, 92.67 and 90.00 degrees. The asymmetric unit holds Cr at (0.000, 0.000, 0.000), Hg at (0.256, 0.500, 0.751) and Os at (0.500, 0.000, 0.500).

***

Which value of magnetic moment does entry 9 give? 0.00 μB/cell